A plane-wave DFT calculation with PBE was carried out for crystalline ZrCdOs at its relaxed geometry.

ρ = 11.7 g/cm3
Space group = C2/m (12)
ΔE_f = -0.03 eV/atom
Excess energy over the best structure of this formula in the dataset = 0.27 eV/f.u.

Lattice parameters (Å, degrees): 6.2291 3.8228 9.9102 90.00 108.05 90.00
Closest atoms and distances in Å follow each position.
Positions (direct):
Os 0.0000 0.5000 0.0000  4 Zr 2.76, 4 Cd 2.95
Os 0.0000 0.0000 0.5000  4 Zr 2.76, 4 Cd 2.95
Os 0.5000 0.0000 0.5000  4 Zr 2.77, 6 Cd 2.97-3.07
Os 0.5000 0.5000 0.0000  4 Zr 2.77, 6 Cd 2.97-3.07
Zr 0.8173 0.0000 0.1326  4 Os 2.76-2.77, 3 Cd 2.89-3.05
Zr 0.1827 0.0000 0.8674  4 Os 2.76-2.77, 3 Cd 2.89-3.05
Zr 0.8173 0.5000 0.6326  4 Os 2.76-2.77, 3 Cd 2.89-3.05
Zr 0.1827 0.5000 0.3674  4 Os 2.76-2.77, 3 Cd 2.89-3.05
Cd 0.6686 0.0000 0.8261  5 Zr 2.89-3.18, 2 Cd 2.89, 5 Os 2.95-3.07
Cd 0.3314 0.0000 0.1739  5 Zr 2.89-3.18, 2 Cd 2.89, 5 Os 2.95-3.07
Cd 0.6686 0.5000 0.3261  5 Zr 2.89-3.18, 2 Cd 2.89, 5 Os 2.95-3.07
Cd 0.3314 0.5000 0.6739  5 Zr 2.89-3.18, 2 Cd 2.89, 5 Os 2.95-3.07

=====

A plane-wave DFT calculation with PBE was carried out for crystalline ScMn2As2 at its relaxed geometry.

ρ = 7.0 g/cm3
Space group = P4/mbm (127)
ΔE_f = -0.17 eV/atom

Lattice parameters (Å, degrees): 7.0289 7.0289 2.9263 90.00 90.00 90.00
Closest atoms and distances in Å follow each position.
Positions (direct):
Sc 0.0000 0.0000 0.0000  4 As 2.68, 2 Sc 2.93
Sc 0.5000 0.5000 0.0000  4 As 2.68, 2 Sc 2.93
As 0.3496 0.8496 0.0000  6 Mn 2.50-2.56, 2 Sc 2.68
As 0.8496 0.6504 0.0000  6 Mn 2.50-2.56, 2 Sc 2.68
As 0.6504 0.1504 0.0000  6 Mn 2.50-2.56, 2 Sc 2.68
As 0.1504 0.3496 0.0000  6 Mn 2.50-2.56, 2 Sc 2.68
Mn 0.1383 0.6383 0.5000  6 As 2.50-2.56, 1 Mn 2.75
Mn 0.6383 0.8617 0.5000  6 As 2.50-2.56, 1 Mn 2.75
Mn 0.8617 0.3617 0.5000  6 As 2.50-2.56, 1 Mn 2.75
Mn 0.3617 0.1383 0.5000  6 As 2.50-2.56, 1 Mn 2.75

=====

A plane-wave DFT calculation with PBE was carried out for crystalline PmDyIn6 at its relaxed geometry.

ρ = 8.1 g/cm3
Space group = P4/mmm (123)
ΔE_f = -0.44 eV/atom
Excess energy over the best structure of this formula in the dataset = 0.00 eV/f.u.

Lattice parameters (Å, degrees): 4.6658 4.6658 9.3361 90.00 90.00 90.00
Closest atoms and distances in Å follow each position.
Positions (direct):
Pm 0.0000 0.0000 0.0000  12 In 3.30-3.32
Dy 0.0000 0.0000 0.5000  12 In 3.28-3.30
In 0.5000 0.5000 0.0000  4 Pm 3.30, 8 In 3.32
In 0.5000 0.5000 0.5000  8 In 3.28, 4 Dy 3.30
In 0.5000 0.0000 0.2535  8 In 3.28-3.32, 2 Dy 3.28, 2 Pm 3.32
In 0.5000 0.0000 0.7465  8 In 3.28-3.32, 2 Dy 3.28, 2 Pm 3.32
In 0.0000 0.5000 0.2535  2 Dy 3.28, 8 In 3.28-3.32, 2 Pm 3.32
In 0.0000 0.5000 0.7465  2 Dy 3.28, 8 In 3.28-3.32, 2 Pm 3.32

=====

A plane-wave DFT calculation with PBE was carried out for crystalline Ti3NbTc4 at its relaxed geometry.

ρ = 8.5 g/cm3
Space group = Pmmm (47)
ΔE_f = -0.47 eV/atom

Lattice parameters (Å, degrees): 3.1339 4.4275 8.8370 90.00 90.00 90.00
Closest atoms and distances in Å follow each position.
Positions (direct):
Nb 0.5000 0.5000 0.0000  8 Tc 2.71-2.73
Tc 0.0000 0.0000 0.5000  8 Ti 2.68-2.71
Tc 0.0000 0.5000 0.7477  6 Ti 2.69-2.71, 2 Nb 2.73
Tc 0.0000 0.0000 0.0000  4 Nb 2.71, 4 Ti 2.74
Tc 0.0000 0.5000 0.2523  6 Ti 2.69-2.71, 2 Nb 2.73
Ti 0.5000 0.0000 0.2546  8 Tc 2.68-2.74
Ti 0.5000 0.5000 0.5000  8 Tc 2.69-2.71
Ti 0.5000 0.0000 0.7454  8 Tc 2.68-2.74

=====

A plane-wave DFT calculation with PBE was carried out for crystalline Li2InPd2 at its relaxed geometry.

ρ = 7.6 g/cm3
Space group = P4/mbm (127)
ΔE_f = -0.44 eV/atom
Excess energy over the best structure of this formula in the dataset = 0.30 eV/f.u.

Lattice parameters (Å, degrees): 7.1056 7.1056 2.9669 90.00 90.00 90.00
Closest atoms and distances in Å follow each position.
Positions (direct):
Li 0.3831 0.8831 0.0000  1 Li 2.35, 2 Pd 2.50
Li 0.8831 0.6169 0.0000  1 Li 2.35, 2 Pd 2.50
Li 0.6169 0.1169 0.0000  1 Li 2.35, 2 Pd 2.50
Li 0.1169 0.3831 0.0000  1 Li 2.35, 2 Pd 2.50
Pd 0.1832 0.6832 0.5000  6 Li 2.50-2.64
Pd 0.6832 0.8168 0.5000  6 Li 2.50-2.64
Pd 0.8168 0.3168 0.5000  6 Li 2.50-2.64
Pd 0.3168 0.1832 0.5000  6 Li 2.50-2.64
In 0.0000 0.0000 0.0000  4 Li 2.85, 2 In 2.97, 8 Pd 2.99
In 0.5000 0.5000 0.0000  4 Li 2.85, 2 In 2.97, 8 Pd 2.99

=====

A plane-wave DFT calculation with PBE was carried out for crystalline SrAl2SiO6 at its relaxed geometry.

ρ = 3.2 g/cm3
Space group = C2/c (15)
Formation energy without anion corrections = -2.974 eV/atom

Lattice parameters (Å, degrees): 6.2447 7.1999 7.1999 81.05 66.98 66.98
Closest atoms and distances in Å follow each position.
Positions (direct):
Sr 0.2500 0.8006 0.1994  4 O 2.45-2.55
Sr 0.7500 0.1994 0.8006  4 O 2.45-2.55
Al 0.3444 0.7720 0.6457  4 O 1.77-1.80
Al 0.1556 0.3543 0.2280  4 O 1.77-1.80
Al 0.6556 0.2280 0.3543  4 O 1.77-1.80
Al 0.8444 0.6457 0.7720  4 O 1.77-1.80
Si 0.2500 0.1952 0.8048  4 O 1.62-1.64
Si 0.7500 0.8048 0.1952  4 O 1.62-1.64
O 0.1893 0.9952 0.7986  1 Si 1.64, 1 Al 1.80
O 0.3107 0.2014 0.0048  1 Si 1.64, 1 Al 1.80
O 0.8107 0.0048 0.2014  1 Si 1.64, 1 Al 1.80
O 0.6893 0.7986 0.9952  1 Si 1.64, 1 Al 1.80
O 0.4982 0.8130 0.3864  1 Si 1.62, 1 Al 1.77
O 0.0018 0.6136 0.1870  1 Si 1.62, 1 Al 1.77
O 0.5018 0.1870 0.6136  1 Si 1.62, 1 Al 1.77
O 0.9982 0.3864 0.8130  1 Si 1.62, 1 Al 1.77
O 0.0839 0.7397 0.6246  2 Al 1.77-1.80
O 0.4161 0.3754 0.2603  2 Al 1.77-1.80
O 0.9161 0.2603 0.3754  2 Al 1.77-1.80
O 0.5839 0.6246 0.7397  2 Al 1.77-1.80

=====

A plane-wave DFT calculation with PBE was carried out for crystalline Tb2In3Ag2 at its relaxed geometry.

ρ = 8.7 g/cm3
Space group = C2/m (12)
ΔE_f = -0.32 eV/atom

Lattice parameters (Å, degrees): 4.5456 5.9451 7.3652 112.01 90.00 112.48
Closest atoms and distances in Å follow each position.
Positions (direct):
Tb 0.8527 0.7054 0.2151  4 Ag 3.16-3.26, 7 In 3.30-3.54
Tb 0.1473 0.2946 0.7849  4 Ag 3.16-3.26, 7 In 3.30-3.54
In 0.5000 0.0000 0.0000  4 Ag 2.88, 2 In 2.98
In 0.6118 0.2236 0.4421  3 Ag 2.80-2.95, 2 In 2.91-2.98
In 0.3882 0.7764 0.5579  3 Ag 2.80-2.95, 2 In 2.91-2.98
Ag 0.8501 0.7001 0.7841  5 In 2.80-2.95
Ag 0.1499 0.2999 0.2159  5 In 2.80-2.95

=====

A plane-wave DFT calculation with PBE was carried out for crystalline Nd6Sm2DyMg at its relaxed geometry.

ρ = 6.7 g/cm3
Space group = C2/c (15)
ΔE_f = 0.11 eV/atom

Lattice parameters (Å, degrees): 9.3452 9.0584 9.0584 118.09 92.36 92.36
Closest atoms and distances in Å follow each position.
Positions (direct):
Nd 0.0529 0.1349 0.7810  1 Sm 3.45, 7 Nd 3.47-3.74, 2 Dy 3.63-3.74
Nd 0.4471 0.2190 0.8651  1 Sm 3.45, 7 Nd 3.47-3.74, 2 Dy 3.63-3.74
Nd 0.9471 0.8651 0.2190  1 Sm 3.45, 7 Nd 3.47-3.74, 2 Dy 3.63-3.74
Nd 0.5529 0.7810 0.1349  1 Sm 3.45, 7 Nd 3.47-3.74, 2 Dy 3.63-3.74
Nd 0.2973 0.0059 0.4311  5 Nd 3.37-3.74, 1 Mg 3.40, 1 Sm 3.43, 1 Dy 3.57
Nd 0.2027 0.5689 0.9941  5 Nd 3.37-3.74, 1 Mg 3.40, 1 Sm 3.43, 1 Dy 3.57
Nd 0.7027 0.9941 0.5689  5 Nd 3.37-3.74, 1 Mg 3.40, 1 Sm 3.43, 1 Dy 3.57
Nd 0.7973 0.4311 0.0059  5 Nd 3.37-3.74, 1 Mg 3.40, 1 Sm 3.43, 1 Dy 3.57
Nd 0.1051 0.7222 0.4966  3 Sm 3.21-3.48, 3 Nd 3.37-3.52, 2 Mg 3.43-3.46
Nd 0.3949 0.5034 0.2778  3 Sm 3.21-3.48, 3 Nd 3.37-3.52, 2 Mg 3.43-3.46
Nd 0.8949 0.2778 0.5034  3 Sm 3.21-3.48, 3 Nd 3.37-3.52, 2 Mg 3.43-3.46
Nd 0.6051 0.4966 0.7222  3 Sm 3.21-3.48, 3 Nd 3.37-3.52, 2 Mg 3.43-3.46
Sm 0.4515 0.7880 0.6833  5 Nd 3.21-3.48, 1 Dy 3.43, 1 Mg 3.45
Sm 0.0485 0.3167 0.2120  5 Nd 3.21-3.48, 1 Dy 3.43, 1 Mg 3.45
Sm 0.5485 0.2120 0.3167  5 Nd 3.21-3.48, 1 Dy 3.43, 1 Mg 3.45
Sm 0.9515 0.6833 0.7880  5 Nd 3.21-3.48, 1 Dy 3.43, 1 Mg 3.45
Dy 0.2500 0.9759 0.0241  4 Sm 3.43-3.60, 6 Nd 3.57-3.74
Dy 0.7500 0.0241 0.9759  4 Sm 3.43-3.60, 6 Nd 3.57-3.74
Mg 0.2500 0.4210 0.5790  6 Nd 3.40-3.46, 4 Sm 3.45-3.71
Mg 0.7500 0.5790 0.4210  6 Nd 3.40-3.46, 4 Sm 3.45-3.71

=====

A plane-wave DFT calculation with PBE was carried out for crystalline CuSb2P at its relaxed geometry.

ρ = 6.6 g/cm3
Space group = Immm (71)
Formation energy without anion corrections = 0.436 eV/atom

Lattice parameters (Å, degrees): 5.2521 5.2521 5.2521 138.43 113.78 81.29
Closest atoms and distances in Å follow each position.
Positions (direct):
Cu 0.2500 0.7500 0.5000  4 Sb 2.71
P 0.7500 0.2500 0.5000  4 Sb 2.74
Sb 0.0023 0.0023 0.0000  2 Cu 2.71, 2 P 2.74
Sb 0.4977 0.4977 0.0000  2 Cu 2.71, 2 P 2.74

=====

A plane-wave DFT calculation with PBE was carried out for crystalline NdHfThSc at its relaxed geometry.

ρ = 8.9 g/cm3
Space group = F-43m (216)
ΔE_f = 0.16 eV/atom

Lattice parameters (Å, degrees): 5.3990 5.3990 5.3990 60.00 60.00 60.00
Closest atoms and distances in Å follow each position.
Positions (direct):
Sc 0.0000 0.0000 0.0000  4 Th 3.31, 4 Nd 3.31
Nd 0.2500 0.2500 0.2500  4 Hf 3.31, 4 Sc 3.31
Hf 0.5000 0.5000 0.5000  4 Nd 3.31, 4 Th 3.31
Th 0.7500 0.7500 0.7500  4 Sc 3.31, 4 Hf 3.31

=====

A plane-wave DFT calculation with PBE was carried out for crystalline CdRe2Ag at its relaxed geometry.

ρ = 14.7 g/cm3
Space group = Cm (8)
ΔE_f = 0.57 eV/atom

Lattice parameters (Å, degrees): 4.7884 4.7884 5.3224 83.73 83.73 33.63
Closest atoms and distances in Å follow each position.
Positions (direct):
Re 0.0014 0.0014 0.9598  5 Re 2.58-2.77, 2 Ag 2.89
Re 0.7497 0.7497 0.7862  5 Re 2.58-2.77
Ag 0.4985 0.4985 0.4840  3 Cd 2.66-2.82, 2 Ag 2.77, 3 Re 2.89-2.96
Cd 0.2505 0.2505 0.2700  3 Ag 2.66-2.82, 2 Cd 2.77, 3 Re 2.92-2.97

=====

A plane-wave DFT calculation with PBE was carried out for crystalline HfHg2Br at its relaxed geometry.

ρ = 11.0 g/cm3
Space group = Fm-3m (225)
Excess energy over the best structure of this formula in the dataset = 1.42 eV/f.u.
Formation energy without anion corrections = 0.453 eV/atom

Lattice parameters (Å, degrees): 5.1978 5.1978 5.1978 60.00 60.00 60.00
Closest atoms and distances in Å follow each position.
Positions (direct):
Hf 0.5000 0.5000 0.5000  8 Hg 3.18
Hg 0.2500 0.2500 0.2500  4 Hf 3.18, 4 Br 3.18
Hg 0.7500 0.7500 0.7500  4 Hf 3.18, 4 Br 3.18
Br 0.0000 0.0000 0.0000  8 Hg 3.18

=====

A plane-wave DFT calculation with PBE was carried out for crystalline Y2MgInF at its relaxed geometry.

ρ = 3.5 g/cm3
Space group = P4/mmm (123)
Formation energy without anion corrections = -0.136 eV/atom

Lattice parameters (Å, degrees): 6.0134 4.4258 6.0134 90.00 90.00 90.00
Closest atoms and distances in Å follow each position.
Positions (direct):
Y 0.0000 0.0000 0.5000  2 In 3.01
Y 0.5000 0.0000 0.0000  2 In 3.01
Mg 0.5000 0.5000 0.5000  8 Y 3.73
F 0.0000 0.5000 0.0000  2 In 2.21
In 0.0000 0.0000 0.0000  2 F 2.21

=====

A plane-wave DFT calculation with PBE was carried out for crystalline K2SiRu at its relaxed geometry.

ρ = 3.9 g/cm3
Space group = C2/m (12)
Formation energy without anion corrections = 0.897 eV/atom

Lattice parameters (Å, degrees): 5.4459 6.1444 3.1260 84.22 69.71 110.79
Closest atoms and distances in Å follow each position.
Positions (direct):
K 0.0000 0.0000 0.0000  2 K 2.63
K 0.5000 0.0000 0.5000  2 K 2.63
Ru 0.0000 0.5000 0.5000  2 Si 2.63
Si 0.5000 0.5000 0.0000  2 Ru 2.63

=====

A plane-wave DFT calculation with PBE was carried out for crystalline Cd3PdW at its relaxed geometry.

ρ = 7.0 g/cm3
Space group = Pm-3m (221)
ΔE_f = 1.46 eV/atom
Excess energy over the best structure of this formula in the dataset = 1.38 eV/f.u.

Lattice parameters (Å, degrees): 5.3080 5.3080 5.3080 90.00 90.00 90.00
Closest atoms and distances in Å follow each position.
Positions (direct):
Pd 0.5000 0.5000 0.5000  12 Cd 3.75
W 0.0000 0.0000 0.0000  6 Cd 2.65
Cd 0.0000 0.5000 0.0000  2 W 2.65
Cd 0.0000 0.0000 0.5000  2 W 2.65
Cd 0.5000 0.0000 0.0000  2 W 2.65

=====

A plane-wave DFT calculation with PBE was carried out for crystalline Pm3NdCo at its relaxed geometry.

ρ = 6.6 g/cm3
Space group = Pm-3m (221)
ΔE_f = 0.06 eV/atom
Excess energy over the best structure of this formula in the dataset = 0.62 eV/f.u.

Lattice parameters (Å, degrees): 5.4350 5.4350 5.4350 90.00 90.00 90.00
Closest atoms and distances in Å follow each position.
Positions (direct):
Co 0.0000 0.0000 0.0000  6 Pm 2.72
Nd 0.5000 0.5000 0.5000  12 Pm 3.84
Pm 0.0000 0.5000 0.0000  2 Co 2.72
Pm 0.0000 0.0000 0.5000  2 Co 2.72
Pm 0.5000 0.0000 0.0000  2 Co 2.72

=====

A plane-wave DFT calculation with PBE was carried out for crystalline CaDyHg2 at its relaxed geometry.

ρ = 9.6 g/cm3
Space group = Fm-3m (225)
ΔE_f = -0.53 eV/atom
Excess energy over the best structure of this formula in the dataset = 0.04 eV/f.u.

Lattice parameters (Å, degrees): 5.2928 5.2928 5.2928 60.00 60.00 60.00
Closest atoms and distances in Å follow each position.
Positions (direct):
Ca 0.0000 0.0000 0.0000  8 Hg 3.24
Hg 0.7500 0.7500 0.7500  4 Ca 3.24, 4 Dy 3.24
Hg 0.2500 0.2500 0.2500  4 Dy 3.24, 4 Ca 3.24
Dy 0.5000 0.5000 0.5000  8 Hg 3.24

=====

A plane-wave DFT calculation with PBE was carried out for crystalline CsK4Au3F12 at its relaxed geometry.

ρ = 4.5 g/cm3
Space group = Im-3 (204)
Formation energy without anion corrections = -1.933 eV/atom

Lattice parameters (Å, degrees): 8.0998 8.0998 8.0998 109.47 109.47 109.47
Closest atoms and distances in Å follow each position.
Positions (direct):
Cs 0.0000 0.0000 0.0000  12 F 3.42
K 0.5000 0.0000 0.0000  6 F 2.65
K 0.5000 0.5000 0.5000  6 F 2.65
K 0.0000 0.5000 0.0000  6 F 2.65
K 0.0000 0.0000 0.5000  6 F 2.65
Au 0.0000 0.5000 0.5000  4 F 2.08
Au 0.5000 0.5000 0.0000  4 F 2.08
Au 0.5000 0.0000 0.5000  4 F 2.08
F 0.3343 0.8523 0.1866  1 Au 2.08
F 0.6657 0.1477 0.8134  1 Au 2.08
F 0.6657 0.8523 0.5179  1 Au 2.08
F 0.8134 0.6657 0.1477  1 Au 2.08
F 0.8523 0.1866 0.3343  1 Au 2.08
F 0.1477 0.4821 0.3343  1 Au 2.08
F 0.4821 0.3343 0.1477  1 Au 2.08
F 0.1477 0.8134 0.6657  1 Au 2.08
F 0.3343 0.1477 0.4821  1 Au 2.08
F 0.1866 0.3343 0.8523  1 Au 2.08
F 0.8523 0.5179 0.6657  1 Au 2.08
F 0.5179 0.6657 0.8523  1 Au 2.08

=====

A plane-wave DFT calculation with PBE was carried out for crystalline HoMg4Cd at its relaxed geometry.

ρ = 4.2 g/cm3
Space group = F-43m (216)
ΔE_f = 0.03 eV/atom
Excess energy over the best structure of this formula in the dataset = 0.55 eV/f.u.

Lattice parameters (Å, degrees): 5.9177 5.9177 5.9177 60.00 60.00 60.00
Closest atoms and distances in Å follow each position.
Positions (direct):
Mg 0.6244 0.6244 0.1268  6 Mg 2.94-2.97
Mg 0.6244 0.1268 0.6244  6 Mg 2.94-2.97
Mg 0.6244 0.6244 0.6244  6 Mg 2.94-2.97
Mg 0.1268 0.6244 0.6244  6 Mg 2.94-2.97
Ho 0.2500 0.2500 0.2500  12 Mg 3.47, 4 Cd 3.62
Cd 0.0000 0.0000 0.0000  12 Mg 3.47, 4 Ho 3.62

=====

A plane-wave DFT calculation with PBE was carried out for crystalline CsTlPbCl4 at its relaxed geometry.

ρ = 4.2 g/cm3
Space group = I4mm (107)
Formation energy without anion corrections = -1.339 eV/atom

Lattice parameters (Å, degrees): 5.7001 5.7001 9.3281 107.79 107.79 90.00
Closest atoms and distances in Å follow each position.
Positions (direct):
Cs 0.6378 0.6378 0.2757  5 Cl 3.32-3.70
Tl 0.3531 0.3531 0.7063  1 Cl 2.91
Pb 0.9986 0.9986 0.9973  6 Cl 2.75-3.05
Cl 0.9975 0.4975 0.9951  2 Pb 2.85
Cl 0.4975 0.9975 0.9951  2 Pb 2.85
Cl 0.8352 0.8352 0.6704  1 Pb 2.75
Cl 0.1801 0.1801 0.3602  1 Tl 2.91, 1 Pb 3.05